## Dy2AlBr (PBE)

Data for an optimized crystal structure of Dy2AlBr.

Output
Polymorph energy (0 for the lowest one) = 26 meV/atom
Spin magnetization = 0.0 Bohr magnetons per cell

Unit cell a=3.443 b=3.443 c=8.341 alpha=90.00 beta=90.00 gamma=90.00
Fractional positions:
Br 0.500 0.500 0.500
Dy 0.000 0.000 0.774
Al 0.500 0.500 0.000
Dy 0.000 0.000 0.226

## DyAlBr (PBE)

Data for an optimized crystal structure of DyAlBr.

Output
Spin magnetization = 0.0 Bohr magnetons per cell

Unit cell a=3.912 b=3.914 c=13.483 alpha=91.97 beta=81.66 gamma=60.02
Fractional positions:
Dy 0.179 0.935 0.707
Al 0.373 0.807 0.447
Dy 0.821 0.065 0.293
Br 0.742 0.670 0.846
Al 0.627 0.193 0.553
Br 0.258 0.330 0.154

## DyAlBr (PBE)

Data for an optimized crystal structure of DyAlBr.

Output
Spin magnetization = 0.0 Bohr magnetons per cell

Unit cell a=4.213 b=4.213 c=11.782 alpha=89.97 beta=100.33 gamma=120.00
Fractional positions:
Dy 0.880 0.440 0.320
Br 0.553 0.276 0.829
Dy 0.120 0.560 0.680
Al 0.679 0.840 0.519
Al 0.321 0.160 0.481
Br 0.447 0.724 0.171

## Dy2AlBr (PBE)

Data for an optimized crystal structure of Dy2AlBr.

Output
Polymorph energy (0 for the lowest one) = 481 meV/atom
Spin magnetization = 0.0 Bohr magnetons per cell

Unit cell a=3.460 b=3.460 c=10.981 alpha=80.94 beta=80.94 gamma=60.00
Fractional positions:
Dy 0.906 0.906 0.281
Al 0.000 0.000 0.000
Br 0.500 0.500 0.500
Dy 0.094 0.094 0.719

## DyAlBr6 (PBE)

Data for an optimized crystal structure of DyAlBr6.

Output
Spin magnetization = 0.0 Bohr magnetons per cell

Unit cell a=6.626 b=6.630 c=7.592 alpha=64.11 beta=82.46 gamma=72.52
Fractional positions:
Br 0.276 0.590 0.266
Br 0.740 0.741 0.000
Dy 0.000 0.000 0.000
Al 0.500 0.500 0.000
Br 0.724 0.410 0.734
Br 0.260 0.259 0.000
Br 0.276 0.856 0.734
Br 0.724 0.144 0.266

## Er2AlBr (PBE)

Data for an optimized crystal structure of Er2AlBr.

Output
Spin magnetization = 0.0 Bohr magnetons per cell

Unit cell a=3.440 b=3.440 c=10.933 alpha=80.95 beta=80.95 gamma=60.00
Fractional positions:
Er 0.907 0.907 0.280
Br 0.500 0.500 0.500
Er 0.093 0.093 0.720
Al 0.000 0.000 0.000

In the order shown, the computed ΔE_f (raw) values come out to -0.634; -0.916; -1.055; -0.178; -1.385; -0.155 eV per atom.